Model one:
AsPBr2F: relaxed, GGA-PBE.

a b c (Å): 5.490 5.490 3.852
angles (deg): 90.00 90.00 90.00
Fractional coordinates of all 5 atoms:
Br: 0.000 0.500 0.000
Br: 0.500 0.000 0.000
F: 0.000 0.000 0.000
As: 0.000 0.000 0.500
P: 0.500 0.500 0.500

Properties
Fermi-level density of states: 4.541 states/eV per cell


Model two:
AsPBr2F: relaxed, GGA-PBE.

a b c (Å): 4.951 4.951 4.972
angles (deg): 90.00 90.00 90.00
Last column: magnetic moment on the atom in μB.
Fractional coordinates of all 5 atoms:
As: 0.000 0.000 0.500  0.46
P: 0.000 0.000 0.000  -0.01
F: 0.500 0.500 0.500  -0.09
Br: 0.000 0.500 0.000  0.03
Br: 0.500 0.000 0.000  0.03

Properties
Fermi-level density of states: 3.455 states/eV per cell


Short version: model two, model one, most stable first.


Model one:
AsPbBr2F: relaxed, GGA-PBE.

a b c (Å): 5.689 5.689 3.960
angles (deg): 90.00 90.00 90.00
Fractional coordinates of all 5 atoms:
As: 0.000 0.000 0.500
Br: 0.000 0.500 0.000
Br: 0.500 0.000 0.000
F: 0.000 0.000 0.000
Pb: 0.500 0.500 0.500

Properties
Fermi-level density of states: 2.781 states/eV per cell


Model two:
AsPbBr2F: relaxed, GGA-PBE.

a b c (Å): 5.676 5.676 5.748
angles (deg): 90.00 90.00 90.00
Last column: magnetic moment on the atom in μB.
Fractional coordinates of all 5 atoms:
As: 0.000 0.000 0.500  0.77
Br: 0.500 0.000 0.000  0.01
Br: 0.000 0.500 0.000  0.01
F: 0.500 0.500 0.500  0.45
Pb: 0.000 0.000 0.000  -0.01

Properties
Fermi-level density of states: 8.344 states/eV per cell


Short version: model one, model two, most stable first.


Model one:
AsPdBr2F: relaxed, GGA-PBE.

a b c (Å): 5.480 5.480 3.839
angles (deg): 90.00 90.00 90.00
Fractional coordinates of all 5 atoms:
F: 0.000 0.000 0.000
Pd: 0.500 0.500 0.500
Br: 0.000 0.500 0.000
Br: 0.500 0.000 0.000
As: 0.000 0.000 0.500

Properties
Fermi-level density of states: 6.757 states/eV per cell


Model two:
AsPdBr2F: relaxed, GGA-PBE.

a b c (Å): 5.142 5.142 4.777
angles (deg): 90.00 90.00 90.00
Last column: magnetic moment on the atom in μB.
Fractional coordinates of all 5 atoms:
F: 0.500 0.500 0.500  0.31
As: 0.000 0.000 0.500  0.18
Pd: 0.000 0.000 0.000  0.03
Br: 0.500 0.000 0.000  0.05
Br: 0.000 0.500 0.000  0.05

Properties
Fermi-level density of states: 7.113 states/eV per cell


Short version: model two, model one, most stable first.


Model one:
As2PdBrF: relaxed, GGA-PBE.

a b c (Å): 4.823 4.823 5.175
angles (deg): 90.00 90.00 90.00
Last column: magnetic moment on the atom in μB.
Fractional coordinates of all 5 atoms:
As: 0.500 0.000 0.000  0.02
As: 0.000 0.500 0.000  0.02
Pd: 0.000 0.000 0.000  0.01
F: 0.500 0.500 0.500  0.05
Br: 0.000 0.000 0.500  0.00

Properties
Fermi-level density of states: 4.867 states/eV per cell


Model two:
As2PdBrF: relaxed, GGA-PBE.

a b c (Å): 4.309 4.309 5.423
angles (deg): 90.00 90.00 90.00
Fractional coordinates of all 5 atoms:
F: 0.000 0.000 0.000
As: 0.500 0.000 0.000
As: 0.000 0.500 0.000
Br: 0.000 0.000 0.500
Pd: 0.500 0.500 0.500

Properties
Fermi-level density of states: 4.158 states/eV per cell


Short version: model one, model two, most stable first.


Model one:
As2RhBrF: relaxed, GGA-PBE.

a b c (Å): 4.272 4.272 5.229
angles (deg): 90.00 90.00 90.00
Fractional coordinates of all 5 atoms:
As: 0.000 0.500 0.000
As: 0.500 0.000 0.000
Rh: 0.500 0.500 0.500
F: 0.000 0.000 0.000
Br: 0.000 0.000 0.500

Properties
Fermi-level density of states: 3.771 states/eV per cell


Model two:
As2RhBrF: relaxed, GGA-PBE.

a b c (Å): 4.728 4.728 5.182
angles (deg): 90.00 90.00 90.00
Fractional coordinates of all 5 atoms:
As: 0.500 0.000 0.000
As: 0.000 0.500 0.000
Br: 0.000 0.000 0.500
Rh: 0.000 0.000 0.000
F: 0.500 0.500 0.500

Properties
Fermi-level density of states: 5.717 states/eV per cell


Short version: model two, model one, most stable first.


Model one:
ScAsBr2F: relaxed, GGA-PBE.

a b c (Å): 5.379 5.379 3.951
angles (deg): 90.00 90.00 90.00
Last column: magnetic moment on the atom in μB.
Fractional coordinates of all 5 atoms:
Br: 0.500 0.000 0.000  0.01
Br: 0.000 0.500 0.000  0.01
Sc: 0.500 0.500 0.500  0.56
F: 0.000 0.000 0.000  0.00
As: 0.000 0.000 0.500  0.06

Properties
Fermi-level density of states: 4.562 states/eV per cell


Model two:
ScAsBr2F: relaxed, GGA-PBE.

a b c (Å): 5.111 5.111 5.576
angles (deg): 90.00 90.00 90.00
Last column: magnetic moment on the atom in μB.
Fractional coordinates of all 5 atoms:
As: 0.000 0.000 0.500  0.55
Sc: 0.000 0.000 0.000  0.03
F: 0.500 0.500 0.500  -0.19
Br: 0.500 0.000 0.000  0.03
Br: 0.000 0.500 0.000  0.03

Properties
Fermi-level density of states: 3.521 states/eV per cell


Short version: model two, model one, most stable first.


Model one:
ScAs2BrF: relaxed, GGA-PBE.

a b c (Å): 4.301 4.301 5.475
angles (deg): 90.00 90.00 90.00
Fractional coordinates of all 5 atoms:
As: 0.500 0.000 0.000
As: 0.000 0.500 0.000
Sc: 0.500 0.500 0.500
F: 0.000 0.000 0.000
Br: 0.000 0.000 0.500

Properties
Fermi-level density of states: 1.133 states/eV per cell


Model two:
ScAs2BrF: relaxed, GGA-PBE.

a b c (Å): 5.167 5.167 5.110
angles (deg): 90.00 90.00 90.00
Fractional coordinates of all 5 atoms:
Br: 0.000 0.000 0.500
Sc: 0.000 0.000 0.000
As: 0.000 0.500 0.000
As: 0.500 0.000 0.000
F: 0.500 0.500 0.500

Properties
Fermi-level density of states: 4.211 states/eV per cell


Short version: model one, model two, most stable first.


Model one:
As2SeBrF: relaxed, GGA-PBE.

a b c (Å): 4.346 4.346 5.851
angles (deg): 90.00 90.00 90.00
Last column: magnetic moment on the atom in μB.
Fractional coordinates of all 5 atoms:
Br: 0.000 0.000 0.500  0.05
As: 0.000 0.500 0.000  0.12
As: 0.500 0.000 0.000  0.12
F: 0.000 0.000 0.000  0.00
Se: 0.500 0.500 0.500  0.00

Properties
Fermi-level density of states: 4.195 states/eV per cell


Model two:
As2SeBrF: relaxed, GGA-PBE.

a b c (Å): 5.180 5.180 5.048
angles (deg): 90.00 90.00 90.00
Last column: magnetic moment on the atom in μB.
Fractional coordinates of all 5 atoms:
Br: 0.000 0.000 0.000  0.00
Se: 0.000 0.000 0.500  -0.03
As: 0.000 0.500 0.000  0.20
As: 0.500 0.000 0.000  0.20
F: 0.500 0.500 0.500  0.02

Properties
Fermi-level density of states: 4.964 states/eV per cell


Short version: model one, model two, most stable first.


Model one:
As2SeBrF: relaxed, GGA-PBE.

a b c (Å): 4.303 4.303 6.201
angles (deg): 90.00 90.00 90.00
Fractional coordinates of all 5 atoms:
Br: 0.500 0.500 0.500
Se: 0.000 0.000 0.500
As: 0.000 0.500 0.000
As: 0.500 0.000 0.000
F: 0.000 0.000 0.000

Properties
Fermi-level density of states: 5.024 states/eV per cell


Model two:
As2SeBrF: relaxed, GGA-PBE.

a b c (Å): 5.104 5.104 5.277
angles (deg): 90.00 90.00 90.00
Last column: magnetic moment on the atom in μB.
Fractional coordinates of all 5 atoms:
Se: 0.000 0.000 0.000  -0.06
As: 0.000 0.500 0.000  0.32
As: 0.500 0.000 0.000  0.32
F: 0.500 0.500 0.500  0.00
Br: 0.000 0.000 0.500  0.03

Properties
Fermi-level density of states: 3.981 states/eV per cell


Short version: model one, model two, most stable first.


Model one:
SnAsBr2F: relaxed, GGA-PBE.

a b c (Å): 5.420 5.420 5.589
angles (deg): 90.00 90.00 90.00
Last column: magnetic moment on the atom in μB.
Fractional coordinates of all 5 atoms:
Br: 0.000 0.500 0.000  0.03
Br: 0.500 0.000 0.000  0.03
F: 0.500 0.500 0.500  -0.32
Sn: 0.000 0.000 0.000  -0.01
As: 0.000 0.000 0.500  0.74

Properties
Fermi-level density of states: 8.062 states/eV per cell


Model two:
SnAsBr2F: relaxed, GGA-PBE.

a b c (Å): 5.653 5.653 3.938
angles (deg): 90.00 90.00 90.00
Fractional coordinates of all 5 atoms:
Br: 0.500 0.000 0.000
Br: 0.000 0.500 0.000
Sn: 0.500 0.500 0.500
As: 0.000 0.000 0.500
F: 0.000 0.000 0.000

Properties
Fermi-level density of states: 2.520 states/eV per cell


Short version: model two, model one, most stable first.


Model one:
TaAs2BrF: relaxed, GGA-PBE.

a b c (Å): 4.986 4.986 5.067
angles (deg): 90.00 90.00 90.00
Fractional coordinates of all 5 atoms:
F: 0.500 0.500 0.500
Ta: 0.000 0.000 0.000
Br: 0.000 0.000 0.500
As: 0.000 0.500 0.000
As: 0.500 0.000 0.000

Properties
Fermi-level density of states: 4.928 states/eV per cell


Model two:
TaAs2BrF: relaxed, GGA-PBE.

a b c (Å): 4.293 4.293 5.126
angles (deg): 90.00 90.00 90.00
Last column: magnetic moment on the atom in μB.
Fractional coordinates of all 5 atoms:
As: 0.000 0.500 0.000  -0.09
As: 0.500 0.000 0.000  -0.09
Ta: 0.500 0.500 0.500  1.11
Br: 0.000 0.000 0.500  -0.04
F: 0.000 0.000 0.000  -0.01

Properties
Fermi-level density of states: 4.377 states/eV per cell


Short version: model one, model two, most stable first.


Model one:
TiAs2BrF: relaxed, GGA-PBE.

a b c (Å): 4.892 4.892 4.916
angles (deg): 90.00 90.00 90.00
Fractional coordinates of all 5 atoms:
Br: 0.000 0.000 0.500
F: 0.500 0.500 0.500
As: 0.000 0.500 0.000
As: 0.500 0.000 0.000
Ti: 0.000 0.000 0.000

Properties
Fermi-level density of states: 4.406 states/eV per cell


Model two:
TiAs2BrF: relaxed, GGA-PBE.

a b c (Å): 4.281 4.281 5.422
angles (deg): 90.00 90.00 90.00
Last column: magnetic moment on the atom in μB.
Fractional coordinates of all 5 atoms:
Br: 0.000 0.000 0.500  -0.06
As: 0.000 0.500 0.000  -0.10
As: 0.500 0.000 0.000  -0.10
F: 0.000 0.000 0.000  -0.01
Ti: 0.500 0.500 0.500  1.35

Properties
Fermi-level density of states: 4.480 states/eV per cell


Short version: model one, model two, most stable first.